# PBE Pr2Ga2IBr, relaxed
data_Pr2Ga2IBr
_chemical_formula_sum 'Pr2 Ga2 I1 Br1'
_symmetry_space_group_name_H-M 'P 3 m 1'
_symmetry_Int_Tables_number 156
_cell_length_a 4.2987
_cell_length_b 4.2987
_cell_length_c 11.5711
_cell_angle_alpha 90.00
_cell_angle_beta 90.00
_cell_angle_gamma 120.00
loop_
_symmetry_equiv_pos_as_xyz
'x,y,z'
'-y,x-y,z'
'-x+y,-x,z'
'-y,-x,z'
'-x+y,y,z'
'x,x-y,z'
loop_
_atom_site_label
_atom_site_type_symbol
_atom_site_fract_x
_atom_site_fract_y
_atom_site_fract_z
Pr1 Pr 0.0000 0.0000 0.0000
Pr2 Pr 0.0000 0.0000 0.3680
Ga1 Ga 0.3333 0.6667 0.2091
Ga2 Ga 0.6667 0.3333 0.1556
I1 I 0.3333 0.6667 0.8207
Br1 Br 0.6667 0.3333 0.5248
# - calculated total energy (hartree per atom) = -0.1584


# PBE Pr3GaIBr2, relaxed
data_Pr3GaIBr2
_chemical_formula_sum 'Pr3 Ga1 I1 Br2'
_symmetry_space_group_name_H-M 'P 4/m m m'
_symmetry_Int_Tables_number 123
_symmetry_space_group_name_Hall '-P 4 2'
_cell_length_a 6.190
_cell_length_b 6.190
_cell_length_c 6.047
_cell_angle_alpha 90.00
_cell_angle_beta 90.00
_cell_angle_gamma 90.00
loop_
_atom_site_label
_atom_site_type_symbol
_atom_site_fract_x
_atom_site_fract_y
_atom_site_fract_z
Pr1 Pr 0.000 0.000 0.000
Pr2 Pr 0.000 0.500 0.500
Ga1 Ga 0.000 0.000 0.500
I1 I 0.500 0.500 0.500
Br1 Br 0.000 0.500 0.000
# - calculated total energy (hartree per atom) = -0.1614


# PBE Pr3GaI2Br, relaxed
data_Pr3GaI2Br
_chemical_formula_sum 'Pr3 Ga1 I2 Br1'
_symmetry_space_group_name_H-M 'P 4/m m m'
_symmetry_Int_Tables_number 123
_symmetry_space_group_name_Hall '-P 4 2'
_cell_length_a 6.191
_cell_length_b 6.191
_cell_length_c 6.305
_cell_angle_alpha 90.00
_cell_angle_beta 90.00
_cell_angle_gamma 90.00
loop_
_atom_site_label
_atom_site_type_symbol
_atom_site_fract_x
_atom_site_fract_y
_atom_site_fract_z
Pr1 Pr 0.000 0.000 0.000
Pr2 Pr 0.000 0.500 0.500
Ga1 Ga 0.000 0.000 0.500
I1 I 0.000 0.500 0.000
Br1 Br 0.500 0.500 0.500
# - calculated total energy (hartree per atom) = -0.1569


# PBE LaNdGa2Br2, relaxed
data_LaNdGa2Br2
_chemical_formula_sum 'La1 Nd1 Ga2 Br2'
_symmetry_space_group_name_H-M 'P 3 m 1'
_symmetry_Int_Tables_number 156
_cell_length_a 4.2816
_cell_length_b 4.2816
_cell_length_c 11.6680
_cell_angle_alpha 90.00
_cell_angle_beta 90.00
_cell_angle_gamma 120.00
loop_
_symmetry_equiv_pos_as_xyz
'x,y,z'
'-y,x-y,z'
'-x+y,-x,z'
'-y,-x,z'
'-x+y,y,z'
'x,x-y,z'
loop_
_atom_site_label
_atom_site_type_symbol
_atom_site_fract_x
_atom_site_fract_y
_atom_site_fract_z
La1 La 0.0000 0.0000 0.0000
Nd1 Nd 0.0000 0.0000 0.3674
Ga1 Ga 0.3333 0.6667 0.2103
Ga2 Ga 0.6667 0.3333 0.1578
Br1 Br 0.3333 0.6667 0.8428
Br2 Br 0.6667 0.3333 0.5237
# - calculated total energy (hartree per atom) = -0.1644